A geometry-optimized Ca2SiSe4 structure. Source: Alexandria via LeMat-Bulk, functional PBEsol.

Space-group type: Pnma
Magnetization (Bohr magnetons per cell): 0.00
Fermi-level density of states (states/eV per cell): 0.0
Raw formation energy (kJ per mole of atoms): -128.56

Lattice parameters (Å, degrees): 6.4910 8.5113 14.0262 90.00 90.00 90.00
Last column: nearest neighbours and their distance in Å.
Atoms (fractional coordinates):
Ca 0.0000 0.0000 0.5000  6 Se 2.88-2.98
Ca 0.5000 0.0000 0.0000  6 Se 2.88-2.98
Ca 0.0000 0.5000 0.5000  6 Se 2.88-2.98
Ca 0.5000 0.5000 0.0000  6 Se 2.88-2.98
Ca 0.4755 0.2500 0.7266  6 Se 2.88-2.95
Ca 0.9755 0.7500 0.7734  6 Se 2.88-2.95
Ca 0.5245 0.7500 0.2734  6 Se 2.88-2.95
Ca 0.0245 0.2500 0.2266  6 Se 2.88-2.95
Se 0.2489 0.2500 0.9074  1 Si 2.27
Se 0.7489 0.7500 0.5926  1 Si 2.27
Se 0.7511 0.7500 0.0926  1 Si 2.27
Se 0.2511 0.2500 0.4074  1 Si 2.27
Se 0.7700 0.2500 0.0584  1 Si 2.29
Se 0.2700 0.7500 0.4416  1 Si 2.29
Se 0.2300 0.7500 0.9416  1 Si 2.29
Se 0.7300 0.2500 0.5584  1 Si 2.29
Se 0.7573 0.0398 0.8286  1 Si 2.29
Se 0.2573 0.9602 0.6714  1 Si 2.29
Se 0.2427 0.5398 0.1714  1 Si 2.29
Se 0.7427 0.4602 0.3286  1 Si 2.29
Se 0.2427 0.9602 0.1714  1 Si 2.29
Se 0.7427 0.0398 0.3286  1 Si 2.29
Se 0.7573 0.4602 0.8286  1 Si 2.29
Se 0.2573 0.5398 0.6714  1 Si 2.29
Si 0.8999 0.2500 0.9065  4 Se 2.27-2.29
Si 0.3999 0.7500 0.5935  4 Se 2.27-2.29
Si 0.1001 0.7500 0.0935  4 Se 2.27-2.29
Si 0.6001 0.2500 0.4065  4 Se 2.27-2.29

A geometry-optimized Rb2InAsAu structure. Source: Alexandria via LeMat-Bulk, functional PBEsol.

Space-group type: P4/mmm
Magnetization (Bohr magnetons per cell): 0.00
Fermi-level density of states (states/eV per cell): 4.8
ΔH_f (0 K) (eV per atom): 0.133

Lattice parameters (Å, degrees): 4.6886 6.6027 6.6027 90.00 90.00 90.00
Last column: nearest neighbours and their distance in Å.
Atoms (fractional coordinates):
As 0.0000 0.0000 0.0000  2 Au 2.34
Au 0.5000 0.0000 0.0000  2 As 2.34
Rb 0.0000 0.0000 0.5000  2 As 3.30
Rb 0.0000 0.5000 0.0000  2 As 3.30
In 0.5000 0.5000 0.5000  8 Rb 4.05

A geometry-optimized TlOF2 structure. Source: Alexandria via LeMat-Bulk, functional PBEsol.

Space-group type: R-3m
Magnetization (Bohr magnetons per cell): 2.91
Fermi-level density of states (states/eV per cell): 0.5
Raw formation energy (kJ per mole of atoms): 1.47

Lattice parameters (Å, degrees): 3.2241 3.2241 7.2677 77.18 77.18 60.00
Last column: nearest neighbours and their distance in Å.
Atoms (fractional coordinates):
Tl 0.0000 0.0000 0.0000  2 F 2.27
O 0.5000 0.5000 0.5000  6 F 2.24
F 0.8924 0.8924 0.3229  3 O 2.24, 1 Tl 2.27
F 0.1076 0.1076 0.6771  3 O 2.24, 1 Tl 2.27

A geometry-optimized CaTeAs2 structure. Source: Alexandria via LeMat-Bulk, functional PBEsol.

Space-group type: I-42d
Magnetization (Bohr magnetons per cell): 0.00
Fermi-level density of states (states/eV per cell): 1.2
Raw formation energy (kJ per mole of atoms): -6.09

Lattice parameters (Å, degrees): 6.2106 6.2106 8.2895 112.00 112.00 90.00
Last column: nearest neighbours and their distance in Å.
Atoms (fractional coordinates):
As 0.8994 0.3750 0.2500  2 Te 2.73, 2 Ca 2.90
As 0.3506 0.8750 0.2500  2 Te 2.73, 2 Ca 2.90
As 0.6250 0.6494 0.7500  2 Te 2.73, 2 Ca 2.90
As 0.1250 0.1006 0.7500  2 Te 2.73, 2 Ca 2.90
Te 0.2500 0.7500 0.5000  4 As 2.73
Te 0.0000 0.0000 0.0000  4 As 2.73
Ca 0.7500 0.2500 0.5000  4 As 2.90
Ca 0.5000 0.5000 0.0000  4 As 2.90

A geometry-optimized Ta2Co3Ge structure. Source: Alexandria via LeMat-Bulk, functional PBEsol.

Space-group type: P6_3/mmc
Magnetization (Bohr magnetons per cell): 0.00
Fermi-level density of states (states/eV per cell): 12.1
ΔH_f (0 K) (eV per atom): -0.401

Lattice parameters (Å, degrees): 4.8302 4.8302 7.5430 90.00 90.00 120.00
Last column: nearest neighbours and their distance in Å.
Atoms (fractional coordinates):
Ge 0.0000 0.0000 0.5000  6 Co 2.37
Ge 0.0000 0.0000 0.0000  6 Co 2.37
Co 0.8283 0.1717 0.7500  4 Co 2.34-2.49, 2 Ge 2.37
Co 0.6565 0.8283 0.2500  4 Co 2.34-2.49, 2 Ge 2.37
Co 0.1717 0.8283 0.2500  4 Co 2.34-2.49, 2 Ge 2.37
Co 0.8283 0.6565 0.7500  4 Co 2.34-2.49, 2 Ge 2.37
Co 0.1717 0.3435 0.2500  4 Co 2.34-2.49, 2 Ge 2.37
Co 0.3435 0.1717 0.7500  4 Co 2.34-2.49, 2 Ge 2.37
Ta 0.3333 0.6667 0.5607  9 Co 2.71-2.81, 3 Ge 2.83, 4 Ta 2.86-2.94
Ta 0.6667 0.3333 0.4393  9 Co 2.71-2.81, 3 Ge 2.83, 4 Ta 2.86-2.94
Ta 0.6667 0.3333 0.0607  9 Co 2.71-2.81, 3 Ge 2.83, 4 Ta 2.86-2.94
Ta 0.3333 0.6667 0.9393  9 Co 2.71-2.81, 3 Ge 2.83, 4 Ta 2.86-2.94

A geometry-optimized ZnH2SeO5 structure. Source: Alexandria via LeMat-Bulk, functional PBEsol.

Space-group type: C2/c
Magnetization (Bohr magnetons per cell): 0.00
Fermi-level density of states (states/eV per cell): 0.0
Total DFT energy (no corrections) (eV/atom): -5.24

Lattice parameters (Å, degrees): 5.3307 5.3307 7.6202 106.65 106.65 99.43
Last column: nearest neighbours and their distance in Å.
Atoms (fractional coordinates):
Zn 0.5000 0.0000 0.0000  6 O 2.03-2.18
Zn 0.0000 0.5000 0.5000  6 O 2.03-2.18
H 0.0371 0.1370 0.2036  1 O 1.01
H 0.8630 0.9629 0.2964  1 O 1.01
H 0.9629 0.8630 0.7964  1 O 1.01
H 0.1370 0.0371 0.7036  1 O 1.01
Se 0.5835 0.4165 0.7500  4 O 1.66-1.68
Se 0.4165 0.5835 0.2500  4 O 1.66-1.68
O 0.7040 0.3091 0.5725  1 Se 1.66
O 0.6909 0.2960 0.9275  1 Se 1.66
O 0.2960 0.6909 0.4275  1 Se 1.66
O 0.3091 0.7040 0.0725  1 Se 1.66
O 0.6876 0.7574 0.8428  1 H 1.65, 1 Se 1.68
O 0.2426 0.3124 0.6572  1 H 1.65, 1 Se 1.68
O 0.3124 0.2426 0.1572  1 H 1.65, 1 Se 1.68
O 0.7574 0.6876 0.3428  1 H 1.65, 1 Se 1.68
O 0.1234 0.8766 0.7500  2 H 1.01
O 0.8766 0.1234 0.2500  2 H 1.01

A geometry-optimized LaNi2Pb structure. Source: Alexandria via LeMat-Bulk, functional PBEsol.

Space-group type: P2/m
Magnetization (Bohr magnetons per cell): 0.00
Fermi-level density of states (states/eV per cell): 2.5
ΔH_f (0 K) (eV per atom): 0.000

Lattice parameters (Å, degrees): 3.3826 3.3830 6.6667 89.69 90.00 90.00
Last column: nearest neighbours and their distance in Å.
Atoms (fractional coordinates):
La 0.5000 0.5000 0.5000  8 Ni 3.05-3.07, 2 Pb 3.33, 4 La 3.38
Ni 0.0000 0.9992 0.2140  4 Pb 2.78-2.79, 1 Ni 2.85, 4 La 3.05-3.07
Ni 0.0000 0.0008 0.7860  4 Pb 2.78-2.79, 1 Ni 2.85, 4 La 3.05-3.07
Pb 0.5000 0.5000 0.0000  8 Ni 2.78-2.79

A geometry-optimized Tl2SnAs2 structure. Source: Alexandria via LeMat-Bulk, functional PBEsol.

Space-group type: P4/mbm
Magnetization (Bohr magnetons per cell): 0.00
Fermi-level density of states (states/eV per cell): 2.2
ΔH_f (0 K) (eV per atom): 0.053

Lattice parameters (Å, degrees): 4.9582 7.2967 7.2967 90.00 90.00 90.00
Last column: nearest neighbours and their distance in Å.
Atoms (fractional coordinates):
As 0.0000 0.3817 0.8817  1 As 2.44
As 0.0000 0.8817 0.6183  1 As 2.44
As 0.0000 0.6183 0.1183  1 As 2.44
As 0.0000 0.1183 0.3817  1 As 2.44
Tl 0.5000 0.1815 0.6815  6 As 3.23-3.34
Tl 0.5000 0.6815 0.8185  6 As 3.23-3.34
Tl 0.5000 0.8185 0.3185  6 As 3.23-3.34
Tl 0.5000 0.3185 0.1815  6 As 3.23-3.34
Sn 0.0000 0.0000 0.0000  4 As 2.92
Sn 0.0000 0.5000 0.5000  4 As 2.92